No. 1
U2MnCo3Si4 | PBE | optimized geometry

Cell lengths 3.9409, 3.9409, 9.2235 Å; angles 90.00, 90.00, 90.00 degrees
Last column: nearest neighbours and their distance in Å.
Fractional coordinates of all 10 atoms:
U: 0.0000 0.5000 0.2408  8 Si 2.97-3.10, 2 Mn 2.97, 6 Co 2.97-3.04
U: 0.5000 0.0000 0.7592  8 Si 2.97-3.10, 2 Mn 2.97, 6 Co 2.97-3.04
Mn: 0.5000 0.5000 0.0000  4 Si 2.31
Co: 0.0000 0.0000 0.0000  4 Si 2.31
Co: 0.0000 0.5000 0.6277  5 Si 2.24-2.30
Co: 0.5000 0.0000 0.3723  5 Si 2.24-2.30
Si: 0.0000 0.0000 0.5000  4 Co 2.30
Si: 0.0000 0.5000 0.8703  3 Co 2.24-2.31, 2 Mn 2.31
Si: 0.5000 0.0000 0.1297  3 Co 2.24-2.31, 2 Mn 2.31
Si: 0.5000 0.5000 0.5000  4 Co 2.30

Summary:
V (Å³/atom): 14.3
Energy (eV/atom): -8.039
Formation energy without anion corrections (eV per formula unit): -5.63

---

No. 2
YPuBi2 | PBE | optimized geometry

Cell lengths 5.5009, 5.5009, 5.5009 Å; angles 60.00, 60.00, 60.00 degrees
Last column: nearest neighbours and their distance in Å.
Fractional coordinates of all 4 atoms:
Y: 0.0000 0.0000 0.0000  8 Bi 3.37
Pu: 0.5000 0.5000 0.5000  8 Bi 3.37
Bi: 0.2500 0.2500 0.2500  4 Pu 3.37, 4 Y 3.37
Bi: 0.7500 0.7500 0.7500  4 Y 3.37, 4 Pu 3.37

Summary:
V (Å³/atom): 29.4
Formation energy (eV/atom): -0.467
Energy above the lowest structure with this stoichiometry (meV/atom): 145
Energy (eV/atom): -7.606

---

No. 3
CaAcIrSe | PBE | optimized geometry

Cell lengths 5.2063, 5.2063, 5.2063 Å; angles 60.00, 60.00, 60.00 degrees
Last column: nearest neighbours and their distance in Å.
Fractional coordinates of all 4 atoms:
Ca: 0.0000 0.0000 0.0000  4 Se 3.19, 4 Ir 3.19
Ac: 0.5000 0.5000 0.5000  4 Se 3.19, 4 Ir 3.19
Ir: 0.7500 0.7500 0.7500  4 Ac 3.19, 4 Ca 3.19
Se: 0.2500 0.2500 0.2500  4 Ac 3.19, 4 Ca 3.19

Summary:
V (Å³/atom): 24.9
Energy (eV/atom): -5.484
Formation energy without anion corrections (eV per formula unit): -3.48

---

No. 4
TlTe3 | PBE | optimized geometry

Cell lengths 4.4333, 6.8015, 9.1066 Å; angles 90.00, 90.00, 90.00 degrees
Last column: nearest neighbours and their distance in Å.
Fractional coordinates of all 8 atoms:
Tl: 0.2500 0.2500 0.0943  4 Te 3.27-3.47
Tl: 0.7500 0.7500 0.9057  4 Te 3.27-3.47
Te: 0.2500 0.0152 0.6075  3 Te 2.96-3.19
Te: 0.2500 0.4848 0.6075  3 Te 2.96-3.19
Te: 0.2500 0.7500 0.1693  4 Tl 3.27-3.47, 4 Te 3.41
Te: 0.7500 0.2500 0.8307  4 Tl 3.27-3.47, 4 Te 3.41
Te: 0.7500 0.5152 0.3925  3 Te 2.96-3.19
Te: 0.7500 0.9848 0.3925  3 Te 2.96-3.19

Summary:
V (Å³/atom): 34.3
Energy (eV/atom): -2.956
Formation energy without anion corrections (eV per formula unit): -0.03

---

No. 5
AlAsIr2 | PBE | optimized geometry

Cell lengths 4.4909, 4.4909, 2.9624 Å; angles 90.00, 90.00, 98.87 degrees
Last column: nearest neighbours and their distance in Å.
Fractional coordinates of all 4 atoms:
Al: 0.0000 0.0000 0.0000  8 Ir 2.69, 2 As 2.92, 2 Al 2.96
As: 0.5000 0.5000 0.0000  8 Ir 2.69, 2 Al 2.92, 2 As 2.96
Ir: 0.0000 0.5000 0.5000  4 As 2.69, 4 Al 2.69, 4 Ir 2.92-2.96
Ir: 0.5000 0.0000 0.5000  4 As 2.69, 4 Al 2.69, 4 Ir 2.92-2.96

Summary:
V (Å³/atom): 14.8
Formation energy (eV/atom): -0.271
Energy above the lowest structure with this stoichiometry (meV/atom): 51
Energy (eV/atom): -6.799

---

No. 6
TbPmDyTh | PBE | optimized geometry

Cell lengths 3.5845, 3.5845, 10.1373 Å; angles 90.00, 90.00, 90.00 degrees
Last column: nearest neighbours and their distance in Å.
Fractional coordinates of all 4 atoms:
Tb: 0.0000 0.0000 0.0000  4 Th 3.53, 4 Tb 3.58, 4 Pm 3.65
Pm: 0.5000 0.5000 0.7405  4 Pm 3.58, 4 Dy 3.64, 4 Tb 3.65
Dy: 0.0000 0.0000 0.4825  4 Th 3.52, 4 Dy 3.58, 4 Pm 3.64
Th: 0.5000 0.5000 0.2418  4 Dy 3.52, 4 Tb 3.53, 4 Th 3.58

Summary:
V (Å³/atom): 32.6
Formation energy (eV/atom): 0.020
Energy above the lowest structure with this stoichiometry (meV/atom): 0
Energy (eV/atom): -5.331

---

No. 7
KNa2InHg | PBE | optimized geometry

Cell lengths 5.8866, 5.8866, 5.6347 Å; angles 90.00, 90.00, 90.00 degrees
Last column: nearest neighbours and their distance in Å.
Fractional coordinates of all 5 atoms:
K: 0.0000 0.0000 0.0000  8 Na 4.07, 4 In 4.16
Na: 0.0000 0.5000 0.5000  2 Hg 2.94
Na: 0.5000 0.0000 0.5000  2 Hg 2.94
In: 0.5000 0.5000 0.0000  2 Hg 2.82
Hg: 0.5000 0.5000 0.5000  2 In 2.82, 4 Na 2.94

Summary:
V (Å³/atom): 39.1
Formation energy (eV/atom): -0.059
Energy above the lowest structure with this stoichiometry (meV/atom): 0
Energy (eV/atom): -1.415

---

No. 8
SrLa2FeRu | PBE | optimized geometry

Cell lengths 5.7510, 5.7510, 4.6374 Å; angles 90.00, 90.00, 90.00 degrees
Last column: nearest neighbours and their distance in Å.
Fractional coordinates of all 5 atoms:
Sr: 0.0000 0.0000 0.0000  2 Ru 2.32
La: 0.0000 0.5000 0.0000  2 Sr 2.88
La: 0.5000 0.0000 0.0000  2 Sr 2.88
Fe: 0.5000 0.5000 0.5000  8 La 3.69, 4 Ru 4.07
Ru: 0.0000 0.0000 0.5000  2 Sr 2.32

Summary:
V (Å³/atom): 30.7
Formation energy (eV/atom): 1.925
Energy (eV/atom): -3.930

---

No. 9
MgIn6Cl8 | PBE | optimized geometry

Cell lengths 8.1549, 8.1549, 8.1549 Å; angles 72.55, 72.55, 72.55 degrees
Last column: nearest neighbours and their distance in Å.
Fractional coordinates of all 15 atoms:
Mg: 0.0000 0.0000 0.0000  6 Cl 2.54
In: 0.0496 0.7110 0.4741  4 Cl 2.94-3.25
In: 0.2890 0.5259 0.9504  4 Cl 2.94-3.25
In: 0.4741 0.0496 0.7110  4 Cl 2.94-3.25
In: 0.5259 0.9504 0.2890  4 Cl 2.94-3.25
In: 0.7110 0.4741 0.0496  4 Cl 2.94-3.25
In: 0.9504 0.2890 0.5259  4 Cl 2.94-3.25
Cl: 0.0651 0.3042 0.8691  1 Mg 2.54
Cl: 0.1309 0.9349 0.6958  1 Mg 2.54
Cl: 0.3042 0.8691 0.0651  1 Mg 2.54
Cl: 0.3071 0.3071 0.3071  3 In 2.94
Cl: 0.6929 0.6929 0.6929  3 In 2.94
Cl: 0.6958 0.1309 0.9349  1 Mg 2.54
Cl: 0.8691 0.0651 0.3042  1 Mg 2.54
Cl: 0.9349 0.6958 0.1309  1 Mg 2.54

Summary:
V (Å³/atom): 32.0
Energy (eV/atom): -3.200
Formation energy without anion corrections (eV per formula unit): -15.20

---

No. 10
GeSbTe2C | PBE | optimized geometry

Cell lengths 5.3920, 5.3920, 5.3797 Å; angles 90.00, 90.00, 90.00 degrees
Last column: nearest neighbours and their distance in Å.
Fractional coordinates of all 5 atoms:
Ge: 0.0000 0.0000 0.0000  2 Sb 2.69, 4 Te 2.70
Sb: 0.0000 0.0000 0.5000  2 Ge 2.69
Te: 0.0000 0.5000 0.0000  2 Ge 2.70
Te: 0.5000 0.0000 0.0000  2 Ge 2.70
C: 0.5000 0.5000 0.5000  8 Te 3.81, 4 Sb 3.81

Summary:
V (Å³/atom): 31.3
Energy above the lowest structure with this stoichiometry (meV/atom): 899
Energy (eV/atom): -2.956
Formation energy without anion corrections (eV per formula unit): 9.46

---

No. 11
HfTeP3 | PBE | optimized geometry

Cell lengths 4.9949, 4.9949, 4.9949 Å; angles 90.00, 90.00, 90.00 degrees
Last column: nearest neighbours and their distance in Å.
Fractional coordinates of all 5 atoms:
Hf: 0.0000 0.0000 0.0000  6 P 2.50
Te: 0.5000 0.5000 0.5000  12 P 3.53
P: 0.0000 0.0000 0.5000  2 Hf 2.50
P: 0.0000 0.5000 0.0000  2 Hf 2.50
P: 0.5000 0.0000 0.0000  2 Hf 2.50

Summary:
V (Å³/atom): 24.9
Energy above the lowest structure with this stoichiometry (meV/atom): 0
Energy (eV/atom): -5.403
Formation energy without anion corrections (eV per formula unit): 2.31

---

No. 12
CsScHg2Cl8 | PBE | optimized geometry

Cell lengths 6.5793, 7.0854, 9.2014 Å; angles 110.17, 95.62, 98.96 degrees
Last column: nearest neighbours and their distance in Å.
Fractional coordinates of all 12 atoms:
Cs: 0.0000 0.0000 0.0000  8 Cl 3.49-3.81
Sc: 0.0000 0.5000 0.5000  6 Cl 2.43-2.63
Hg: 0.4598 0.3127 0.7619  2 Cl 2.38
Hg: 0.5402 0.6873 0.2381  2 Cl 2.38
Cl: 0.1198 0.5357 0.2585  1 Sc 2.51
Cl: 0.2272 0.8252 0.6637  1 Sc 2.43
Cl: 0.2945 0.2911 0.5128  1 Hg 2.38, 1 Sc 2.63
Cl: 0.4484 0.7390 0.0004  1 Hg 2.38
Cl: 0.5516 0.2610 0.9996  1 Hg 2.38
Cl: 0.7055 0.7089 0.4872  1 Hg 2.38, 1 Sc 2.63
Cl: 0.7728 0.1748 0.3363  1 Sc 2.43
Cl: 0.8802 0.4643 0.7415  1 Sc 2.51

Summary:
V (Å³/atom): 32.7
Energy (eV/atom): -3.195
Formation energy without anion corrections (eV per formula unit): -15.78